This record from the Alexandria database describes a relaxed HgSbPb2 crystal. The functional is GGA-PBE.

Lattice parameters (Å, degrees): 3.487 3.487 9.616 90.00 90.00 90.00
Space group P4mm (No. 99)
One atom of each set of equivalent atoms:
Hg 0.000 0.000 0.000 [1 per cell]
Sb 0.500 0.500 0.764 [1 per cell]
Pb 0.000 0.000 0.513 [1 per cell]
Pb 0.500 0.500 0.246 [1 per cell]

## Properties
**Final energy**: -2.87 eV/atom
**Formation energy without anion corrections**: 0.092 eV/atom
**ΔE to the lowest computed polymorph**: 71 meV per atom
**Crystal system**: tetragonal
**Calculated volume**: 117 Å³/cell
**Total magnetic moment**: 0.000 μB per atom

This record from the Alexandria database describes a relaxed HgSbPb2 crystal. The functional is GGA-PBE.

Lattice parameters (Å, degrees): 4.411 5.381 9.789 90.00 90.00 90.00
Space group Cmm2 (No. 35)
One atom of each set of equivalent atoms:
Hg 0.000 0.000 0.000 [2 per cell]
Sb 0.000 0.500 0.232 [2 per cell]
Pb 0.000 0.000 0.487 [2 per cell]
Pb 0.000 0.500 0.759 [2 per cell]

## Properties
**Final energy**: -2.87 eV/atom
**Formation energy without anion corrections**: 0.092 eV/atom
**ΔE to the lowest computed polymorph**: 72 meV per atom
**Crystal system**: orthorhombic
**Calculated volume**: 232 Å³/cell
**Total magnetic moment**: 0.000 μB per atom

This record from the Alexandria database describes a relaxed HgSbPb2 crystal. The functional is GGA-PBE.

Lattice parameters (Å, degrees): 4.451 4.937 10.688 90.00 90.00 90.00
Space group Imm2 (No. 44)
One atom of each set of equivalent atoms:
Hg 0.000 0.000 0.000 [2 per cell]
Sb 0.000 0.500 0.260 [2 per cell]
Pb 0.000 0.000 0.515 [2 per cell]
Pb 0.000 0.500 0.753 [2 per cell]

## Properties
**Final energy**: -2.91 eV/atom
**Formation energy without anion corrections**: 0.047 eV/atom
**ΔE to the lowest computed polymorph**: 26 meV per atom
**Crystal system**: orthorhombic
**Calculated volume**: 235 Å³/cell
**Total magnetic moment**: 0.000 μB per atom

This record from the Alexandria database describes a relaxed HgSbPb2 crystal. The functional is GGA-PBE.

Lattice parameters (Å, degrees): 3.4917 3.4917 33.5128 90.00 90.00 120.00
Space group R-3m (No. 166, hexagonal axes)
One atom of each set of equivalent atoms:
Hg 0.0000 0.0000 0.0000 [3 per cell]
Sb 0.0000 0.0000 0.5000 [3 per cell]
Pb 0.0000 0.0000 0.2486 [6 per cell]

## Properties
**Final energy**: -2.90 eV/atom
**Formation energy without anion corrections**: 0.063 eV/atom
**ΔE to the lowest computed polymorph**: 42 meV per atom
**Crystal system**: trigonal
**Calculated volume**: 354 Å³/cell
**Total magnetic moment**: 0.000 μB per atom